Mg5Cd8Sn | GGA-PBE | relaxed

For the electronic total energy, the calculation gives -1.393 eV/atom. The volume is 23.4 Å³/atom. The energy of formation comes out at -0.2 eV/f.u.

Lattice parameters (Å, degrees): 8.598 8.598 8.848 90.00 90.00 90.00
Space group I-4 (No. 82)
Inequivalent atoms, fractional coordinates:
Mg (0.000, 0.000, 0.000) x2
Mg (0.124, 0.204, 0.586) x8
Cd (0.066, 0.337, 0.917) x8
Cd (0.112, 0.166, 0.257) x8
Sn (0.000, 0.500, 0.250) x2


Mg3CdSn | GGA-PBE | relaxed

For the electronic total energy, the calculation gives -1.982 eV/atom. The volume is 25.2 Å³/atom. The energy of formation comes out at -0.2 eV/f.u. The energy relative to the lowest polymorph listed for this composition is 0.057 eV per atom.

Lattice parameters (Å, degrees): 3.178 16.498 9.613 90.00 90.00 90.00
Space group Cmcm (No. 63)
Inequivalent atoms, fractional coordinates:
Mg (0.000, 0.093, 0.250) x4
Mg (0.000, 0.346, 0.028) x8
Cd (0.000, 0.000, 0.000) x4
Sn (0.000, 0.246, 0.750) x4


Mg5CdSn4 | GGA-PBE | relaxed

For the electronic total energy, the calculation gives -2.580 eV/atom. The volume is 23.7 Å³/atom. The energy of formation comes out at -0.9 eV/f.u.

Lattice parameters (Å, degrees): 3.675 3.675 17.542 90.00 90.00 90.00
Space group P4/mmm (No. 123)
Inequivalent atoms, fractional coordinates:
Mg (0.000, 0.000, 0.000) x1
Mg (0.000, 0.000, 0.203) x2
Mg (0.000, 0.000, 0.404) x2
Cd (0.500, 0.500, 0.500) x1
Sn (0.500, 0.500, 0.103) x2
Sn (0.500, 0.500, 0.304) x2


MgCd3Sn | GGA-PBE | relaxed

For the electronic total energy, the calculation gives -1.269 eV/atom. The volume is 35.6 Å³/atom. The energy of formation comes out at 2.0 eV/f.u. The energy relative to the lowest polymorph listed for this composition is 0.410 eV per atom.

Lattice parameters (Å, degrees): 5.627 5.627 5.627 90.00 90.00 90.00
Space group Pm-3m (No. 221)
Inequivalent atoms, fractional coordinates:
Mg (0.000, 0.000, 0.000) x1
Cd (0.000, 0.500, 0.500) x3
Sn (0.500, 0.500, 0.500) x1


Mg4Cd5Sn | GGA-PBE | relaxed

For the electronic total energy, the calculation gives -1.547 eV/atom. The volume is 23.7 Å³/atom. The energy of formation comes out at -0.5 eV/f.u. The energy relative to the lowest polymorph listed for this composition is 0.000 eV per atom.

Lattice parameters (Å, degrees): 9.157 10.399 4.981 90.00 90.00 90.00
Space group Pmmn (No. 59, origin choice 2)
Inequivalent atoms, fractional coordinates:
Mg (0.066, 0.250, 0.104) x4
Mg (0.250, 0.589, 0.248) x4
Cd (0.081, 0.005, 0.748) x8
Cd (0.250, 0.750, 0.741) x2
Sn (0.250, 0.250, 0.599) x2


Mg3Cd3Sn | GGA-PBE | relaxed

For the electronic total energy, the calculation gives -1.110 eV/atom. The volume is 33.2 Å³/atom. The energy of formation comes out at 3.8 eV/f.u. The energy relative to the lowest polymorph listed for this composition is 0.515 eV per atom.

Lattice parameters (Å, degrees): 7.747 7.747 7.747 90.00 90.00 90.00
Space group Pm-3n (No. 223)
Inequivalent atoms, fractional coordinates:
Mg (0.000, 0.250, 0.500) x6
Cd (0.000, 0.500, 0.250) x6
Sn (0.000, 0.000, 0.000) x2


Mg5Cd4Sn | GGA-PBE | relaxed

For the electronic total energy, the calculation gives -1.652 eV/atom. The volume is 22.2 Å³/atom. The energy of formation comes out at -0.9 eV/f.u.

Lattice parameters (Å, degrees): 3.622 3.622 16.928 90.00 90.00 90.00
Space group P4/mmm (No. 123)
Inequivalent atoms, fractional coordinates:
Mg (0.000, 0.000, 0.000) x1
Mg (0.000, 0.000, 0.193) x2
Mg (0.000, 0.000, 0.389) x2
Cd (0.500, 0.500, 0.097) x2
Cd (0.500, 0.500, 0.290) x2
Sn (0.500, 0.500, 0.500) x1


Mg4CdSn2 | GGA-PBE | relaxed

For the electronic total energy, the calculation gives -2.218 eV/atom. The volume is 24.4 Å³/atom. The energy of formation comes out at -0.2 eV/f.u. The energy relative to the lowest polymorph listed for this composition is 0.000 eV per atom.

Lattice parameters (Å, degrees): 7.256 5.743 8.668 90.00 109.14 90.00
Space group P2_1/m (No. 11)
Inequivalent atoms, fractional coordinates:
Mg (0.053, 0.250, 0.452) x2
Mg (0.080, 0.250, 0.829) x2
Mg (0.425, 0.002, 0.752) x4
Cd (0.203, 0.250, 0.183) x2
Sn (0.237, 0.750, 0.975) x2
Sn (0.304, 0.750, 0.423) x2


Mg6CdSn | GGA-PBE | relaxed

For the electronic total energy, the calculation gives -1.867 eV/atom. The volume is 22.8 Å³/atom. The energy of formation comes out at -0.5 eV/f.u. The energy relative to the lowest polymorph listed for this composition is 0.045 eV per atom.

Lattice parameters (Å, degrees): 5.158 6.258 11.287 90.00 90.00 90.00
Space group Amm2 (No. 38)
Inequivalent atoms, fractional coordinates:
Mg (0.000, 0.000, 0.000) x2
Mg (0.000, 0.249, 0.245) x4
Mg (0.500, 0.000, 0.166) x2
Mg (0.500, 0.249, 0.420) x4
Cd (0.000, 0.000, 0.478) x2
Sn (0.500, 0.000, 0.674) x2


Mg6Cd12Sn | GGA-PBE | relaxed

For the electronic total energy, the calculation gives -1.324 eV/atom. The volume is 22.9 Å³/atom. The energy of formation comes out at -0.6 eV/f.u. The energy relative to the lowest polymorph listed for this composition is 0.019 eV per atom.

Lattice parameters (Å, degrees): 10.6377 10.6377 13.2909 90.00 90.00 120.00
Space group R-3 (No. 148, hexagonal axes)
Inequivalent atoms, fractional coordinates:
Mg (0.0240, 0.5894, 0.2093) x18
Cd (0.0466, 0.8604, 0.2989) x18
Cd (0.0603, 0.2194, 0.9168) x18
Sn (0.0000, 0.0000, 0.5000) x3


MgCd3Sn3 | GGA-PBE | relaxed

For the electronic total energy, the calculation gives -1.872 eV/atom. The volume is 36.5 Å³/atom. The energy of formation comes out at 3.2 eV/f.u.

Lattice parameters (Å, degrees): 7.995 7.995 7.995 90.00 90.00 90.00
Space group Pm-3n (No. 223)
Inequivalent atoms, fractional coordinates:
Mg (0.000, 0.000, 0.000) x2
Cd (0.000, 0.250, 0.500) x6
Sn (0.000, 0.500, 0.250) x6


Mg6Cd2Sn3 | GGA-PBE | relaxed

For the electronic total energy, the calculation gives -2.126 eV/atom. The volume is 25.3 Å³/atom. The energy of formation comes out at 0.0 eV/f.u.

Lattice parameters (Å, degrees): 4.429 4.429 28.320 90.00 90.00 90.00
Space group I4/mmm (No. 139)
Inequivalent atoms, fractional coordinates:
Mg (0.000, 0.000, 0.230) x4
Mg (0.000, 0.500, 0.066) x8
Cd (0.000, 0.000, 0.133) x4
Sn (0.000, 0.000, 0.335) x4
Sn (0.000, 0.000, 0.500) x2